(1)
Material: K2CaTl
Method: DFT, PBE
State: relaxed

Properties
energy relative to the elements	0.083	eV/atom
offset from the most stable computed form	171	meV per atom
final energy	-1.558	eV/atom
total magnetic moment	0.0	μB/f.u.
calculated volume	42.7	Å³ per atom

Cell: 7.713 7.713 4.031 Å, 76.85 76.85 125.03°
Fractional positions:
Ca: 0.000 0.500 0.500
K: 0.000 0.000 0.000
K: 0.500 0.500 0.000
Tl: 0.500 0.000 0.500


(2)
Material: K2CaTl
Method: DFT, PBE
State: relaxed

Properties
energy relative to the elements	0.103	eV/atom
offset from the most stable computed form	191	meV per atom
final energy	-1.538	eV/atom
total magnetic moment	0.0	μB/f.u.
calculated volume	46.4	Å³ per atom

Cell: 13.368 13.368 13.368 Å, 17.36 17.36 17.36°
Fractional positions:
Ca: 0.750 0.750 0.750
K: 0.990 0.990 0.990
K: 0.510 0.510 0.510
Tl: 0.250 0.250 0.250


(3)
Material: KCa2Tl
Method: DFT, PBE
State: relaxed

Properties
energy relative to the elements	0.021	eV/atom
final energy	-1.846	eV/atom
total magnetic moment	0.6	μB/f.u.
calculated volume	36.7	Å³ per atom

Cell: 5.734 5.734 4.464 Å, 90.00 90.00 89.99°
Fractional positions:
Ca: 0.000 0.000 0.000
Ca: 0.500 0.500 0.000
K: 0.500 0.000 0.500
Tl: 0.000 0.500 0.500


(4)
Material: K2CaTl
Method: DFT, PBE
State: relaxed

Properties
energy relative to the elements	0.037	eV/atom
offset from the most stable computed form	125	meV per atom
final energy	-1.604	eV/atom
total magnetic moment	1.0	μB/f.u.
calculated volume	40.8	Å³ per atom

Cell: 6.132 6.132 6.132 Å, 119.91 119.91 90.15°
Each line ends with the local moment (μB).
Fractional positions:
Ca: 0.750 0.250 0.500  0.07
K: 0.000 0.000 0.000  0.01
K: 0.250 0.750 0.500  0.02
Tl: 0.500 0.500 0.000  0.15


(5)
Material: KCaTl
Method: DFT, PBE
State: relaxed

Properties
energy relative to the elements	-0.135	eV/atom
offset from the most stable computed form	0	meV per atom
final energy	-1.956	eV/atom
total magnetic moment	0.0	μB/f.u.
calculated volume	40.8	Å³ per atom

Cell: 7.758 7.758 4.125 Å, 74.57 74.59 30.84°
Fractional positions:
Ca: 0.043 0.043 0.957
K: 0.316 0.316 0.684
Tl: 0.641 0.641 0.359


(6)
Material: K2CaTl
Method: DFT, PBE
State: relaxed

Properties
energy relative to the elements	-0.003	eV/atom
offset from the most stable computed form	85	meV per atom
final energy	-1.644	eV/atom
total magnetic moment	0.0	μB/f.u.
calculated volume	47.0	Å³ per atom

Cell: 6.180 6.180 7.709 Å, 68.26 68.26 44.11°
Fractional positions:
Ca: 0.203 0.203 0.368
K: 0.998 0.998 0.023
K: 0.802 0.802 0.731
Tl: 0.497 0.497 0.378


(7)
Material: K2CaTl
Method: DFT, PBE
State: relaxed

Properties
energy relative to the elements	0.155	eV/atom
offset from the most stable computed form	243	meV per atom
final energy	-1.486	eV/atom
total magnetic moment	0.9	μB/f.u.
calculated volume	44.4	Å³ per atom

Cell: 6.311 6.311 6.311 Å, 60.00 60.00 60.00°
Each line ends with the local moment (μB).
Fractional positions:
K: 0.250 0.250 0.250  0.01
K: 0.750 0.750 0.750  0.01
Tl: 0.500 0.500 0.500  0.12
Ca: 0.000 0.000 0.000  0.06


(8)
Material: KCaTl
Method: DFT, PBE
State: relaxed

Properties
energy relative to the elements	0.375	eV/atom
offset from the most stable computed form	510	meV per atom
final energy	-1.447	eV/atom
total magnetic moment	0.0	μB/f.u.
calculated volume	44.3	Å³ per atom

Cell: 5.727 5.727 5.727 Å, 60.00 60.00 60.00°
Fractional positions:
Ca: 0.500 0.500 0.500
K: 0.750 0.750 0.750
Tl: 0.000 0.000 0.000


(9)
Material: KCa3Tl
Method: DFT, PBE
State: relaxed

Properties
energy relative to the elements	0.814	eV/atom
offset from the most stable computed form	848	meV per atom
final energy	-1.080	eV/atom
total magnetic moment	0.0	μB/f.u.
calculated volume	52.6	Å³ per atom

Cell: 6.407 6.407 6.407 Å, 90.00 90.00 90.00°
Fractional positions:
K: 0.000 0.000 0.000
Tl: 0.500 0.500 0.500
Ca: 0.000 0.500 0.000
Ca: 0.000 0.000 0.500
Ca: 0.500 0.000 0.000


(10)
Material: KCaTl2
Method: DFT, PBE
State: relaxed

Properties
energy relative to the elements	-0.106	eV/atom
final energy	-2.064	eV/atom
total magnetic moment	0.0	μB/f.u.
calculated volume	35.4	Å³ per atom

Cell: 11.103 11.103 11.103 Å, 20.12 20.12 20.12°
Fractional positions:
Ca: 0.250 0.250 0.250
K: 0.750 0.750 0.750
Tl: 0.993 0.993 0.993
Tl: 0.507 0.507 0.507


(11)
Material: KCaTl2
Method: DFT, PBE
State: relaxed

Properties
energy relative to the elements	-0.156	eV/atom
final energy	-2.114	eV/atom
total magnetic moment	0.0	μB/f.u.
calculated volume	33.6	Å³ per atom

Cell: 6.888 6.888 5.793 Å, 65.30 65.30 32.96°
Fractional positions:
Ca: 0.473 0.473 0.527
K: 0.266 0.266 0.234
Tl: 0.026 0.026 0.974
Tl: 0.735 0.735 0.765


(12)
Material: K2CaV4
Method: DFT, PBE
State: relaxed

Properties
energy relative to the elements	1.918	eV/atom
final energy	-3.892	eV/atom
total magnetic moment	0.8	μB/f.u.
calculated volume	36.7	Å³ per atom

Cell: 5.408 5.408 9.590 Å, 73.62 73.62 90.00°
Each line ends with the local moment (μB).
Fractional positions:
Ca: 0.000 0.000 0.000  -0.06
K: 0.643 0.643 0.713  0.01
K: 0.357 0.357 0.287  0.01
V: 0.851 0.851 0.299  3.18
V: 0.149 0.149 0.701  3.18
V: 0.000 0.500 0.000  -2.98
V: 0.500 0.000 0.000  -2.98